# La2Pd2Pb

Crystalline La2Pd2Pb at its relaxed geometry (PBE-GGA, the Alexandria database).

The density of states at the Fermi level comes out at 1.84 states/eV/cell. The calculation puts the volume at 135.56 Å³/f.u. For the energy above the most stable polymorph in this dataset, the calculation gives 1.54 eV/f.u. As for the mass density: 8.5 g/cm3. The calculation puts the electronic total energy at -5.33 eV/atom.

The structure in CIF format:
```
data_La2Pd2Pb
_cell_length_a 8.6769
_cell_length_b 8.6769
_cell_length_c 3.6011
_cell_angle_alpha 90.00
_cell_angle_beta 90.00
_cell_angle_gamma 90.00
_symmetry_space_group_name_H-M 'P 4/m b m'
_symmetry_Int_Tables_number 127
_symmetry_space_group_name_Hall '-P 4 2ab'
loop_
_atom_site_label
_atom_site_fract_x
_atom_site_fract_y
_atom_site_fract_z
La1 0.1605 0.3395 0.0000
Pd1 0.1253 0.6253 0.5000
Pb1 0.0000 0.0000 0.0000
```